(1)
The following is a PBE-GGA calculation of an optimized crystal structure of NdSm2DyHo, from the Alexandria database.

Lattice parameters (Å, degrees): 8.2863 6.6656 6.1861 90.00 90.44 90.00
Space group P2/c (No. 13)
Unique sites:
Nd (0.0000, 0.0000, 0.0000) x2
Sm (0.3072, 0.3090, 0.2474) x4
Dy (0.0000, 0.4256, 0.7500) x2
Ho (0.5000, 0.1593, 0.7500) x2



(2)
The following is a PBE-GGA calculation of an optimized crystal structure of NdSm2DyHo6, from the Alexandria database.

Lattice parameters (Å, degrees): 9.0372 15.0333 9.6461 90.00 98.37 90.00
Space group C2/c (No. 15)
Unique sites:
Nd (0.0000, 0.0202, 0.2500) x4
Sm (0.2468, 0.0517, 0.5436) x8
Dy (0.0000, 0.4078, 0.7500) x4
Ho (0.0668, 0.1903, 0.9426) x8
Ho (0.0996, 0.3933, 0.1194) x8
Ho (0.2040, 0.2249, 0.3151) x8



(3)
The following is a PBE-GGA calculation of an optimized crystal structure of Nd2Sm2DyHo2, from the Alexandria database.

Lattice parameters (Å, degrees): 11.3924 5.0930 8.0514 90.00 98.18 90.00
Space group C2/m (No. 12)
Unique sites:
Nd (0.1432, 0.0000, 0.4274) x4
Sm (0.0708, 0.5000, 0.7187) x4
Dy (0.0000, 0.0000, 0.0000) x2
Ho (0.2149, 0.5000, 0.1398) x4



(4)
The following is a PBE-GGA calculation of an optimized crystal structure of Nd4SmDyHo2, from the Alexandria database.

Lattice parameters (Å, degrees): 6.2684 3.6309 11.9251 90.00 100.22 90.00
Space group P2/m (No. 10)
Unique sites:
Nd (0.2484, 0.0000, 0.2481) x2
Nd (0.2504, 0.5000, 0.7505) x2
Sm (0.5000, 0.5000, 0.5000) x1
Dy (0.5000, 0.0000, 0.0000) x1
Ho (0.0000, 0.0000, 0.5000) x1
Ho (0.0000, 0.5000, 0.0000) x1



(5)
The following is a PBE-GGA calculation of an optimized crystal structure of NdSm2DyHo2, from the Alexandria database.

Lattice parameters (Å, degrees): 6.5638 18.0209 3.4079 90.00 90.00 90.00
Space group Pnnm (No. 58)
Unique sites:
Nd (0.0000, 0.0000, 0.0000) x2
Sm (0.2222, 0.1872, 0.0000) x4
Dy (0.0000, 0.5000, 0.0000) x2
Ho (0.2194, 0.3533, 0.5000) x4



(6)
The following is a PBE-GGA calculation of an optimized crystal structure of Nd6Sm2Dy3Ho, from the Alexandria database.

Lattice parameters (Å, degrees): 6.2919 10.8981 11.9388 90.00 100.10 90.00
Space group C2/m (No. 12)
Unique sites:
Nd (0.2488, 0.0000, 0.2483) x4
Nd (0.2503, 0.1663, 0.7514) x8
Sm (0.0000, 0.3333, 0.5000) x4
Dy (0.0000, 0.1666, 0.0000) x4
Dy (0.0000, 0.5000, 0.0000) x2
Ho (0.0000, 0.0000, 0.5000) x2



(7)
The following is a PBE-GGA calculation of an optimized crystal structure of NdSm2DyHo5, from the Alexandria database.

Lattice parameters (Å, degrees): 8.7476 8.7476 15.2767 90.00 90.00 90.00
Space group I4/mcm (No. 140)
Unique sites:
Nd (0.0000, 0.0000, 0.2500) x4
Sm (0.1159, 0.3841, 0.0000) x8
Dy (0.0000, 0.5000, 0.2500) x4
Ho (0.0000, 0.0000, 0.0000) x4
Ho (0.2087, 0.2913, 0.3637) x16



(8)
The following is a PBE-GGA calculation of an optimized crystal structure of NdSmDy2Ho5, from the Alexandria database.

Lattice parameters (Å, degrees): 8.8685 8.8685 14.8352 90.00 90.00 90.00
Space group I4/mcm (No. 140)
Unique sites:
Nd (0.0000, 0.0000, 0.2500) x4
Sm (0.0000, 0.5000, 0.2500) x4
Dy (0.1139, 0.3861, 0.0000) x8
Ho (0.0000, 0.0000, 0.0000) x4
Ho (0.2045, 0.2955, 0.3674) x16



(9)
The following is a PBE-GGA calculation of an optimized crystal structure of Nd2SmDy4Ho, from the Alexandria database.

Lattice parameters (Å, degrees): 13.6784 13.2864 6.8313 90.00 119.95 90.00
Space group C2/c (No. 15)
Unique sites:
Nd (0.0000, 0.0000, 0.0000) x4
Nd (0.2500, 0.2500, 0.0000) x4
Sm (0.2500, 0.2500, 0.5000) x4
Dy (0.0004, 0.2543, 0.0008) x8
Dy (0.2462, 0.4996, 0.4944) x8
Ho (0.0000, 0.5000, 0.0000) x4



(10)
The following is a PBE-GGA calculation of an optimized crystal structure of NdSm5Dy2Ho, from the Alexandria database.

Lattice parameters (Å, degrees): 5.6470 20.2455 10.7064 90.00 90.00 90.00
Space group Cmc2_1 (No. 36)
Unique sites:
Nd (0.0000, 0.2018, 0.0000) x4
Sm (0.0000, 0.0169, 0.0140) x4
Sm (0.0000, 0.2815, 0.2979) x4
Sm (0.0000, 0.2983, 0.6954) x4
Sm (0.0000, 0.3927, 0.0154) x4
Sm (0.0000, 0.4792, 0.7315) x4
Dy (0.0000, 0.1100, 0.7274) x4
Dy (0.0000, 0.1159, 0.3093) x4
Ho (0.0000, 0.4115, 0.4474) x4



(11)
The following is a PBE-GGA calculation of an optimized crystal structure of Nd2Sm4Dy2Ho, from the Alexandria database.

Lattice parameters (Å, degrees): 6.2429 6.2519 8.0736 82.70 75.10 80.44
Space group P-1 (No. 2)
Unique sites:
Nd (0.1673, 0.3310, 0.3332) x2
Sm (0.0559, 0.1102, 0.7780) x2
Sm (0.2788, 0.5538, 0.8884) x2
Dy (0.3901, 0.7772, 0.4442) x2
Ho (0.5000, 0.0000, 0.0000) x1



(12)
The following is a PBE-GGA calculation of an optimized crystal structure of Nd2SmDy4Ho2, from the Alexandria database.

Lattice parameters (Å, degrees): 6.0250 6.6350 8.5898 80.00 70.56 65.31
Space group P-1 (No. 2)
Unique sites:
Nd (0.2282, 0.3275, 0.3415) x2
Sm (0.5000, 0.0000, 0.0000) x1
Dy (0.1200, 0.1272, 0.7593) x2
Dy (0.2391, 0.5782, 0.8861) x2
Ho (0.3221, 0.7689, 0.4445) x2



| no. | VASP energy (eV per atom) |
| --- | --- |
| 1 | -4.3971 |
| 2 | -4.5089 |
| 3 | -4.6577 |
| 4 | -4.6784 |
| 5 | -4.3934 |
| 6 | -4.6904 |
| 7 | -4.3621 |
| 8 | -4.3379 |
| 9 | -4.2384 |
| 10 | -4.5354 |
| 11 | -4.6738 |
| 12 | -4.5641 |